1.
# La3HoEr2Se6 | Alexandria via LeMat-Bulk | PBE | relaxed
data_La3HoEr2Se6
_space_group_name_H-M_alt 'P 1'
_space_group_IT_number 1
_space_group_name_Hall 'P 1'
_cell_length_a 7.148
_cell_length_b 7.148
_cell_length_c 7.391
_cell_angle_alpha 99.27
_cell_angle_beta 99.27
_cell_angle_gamma 120.17
loop_
_atom_site_label
_atom_site_fract_x
_atom_site_fract_y
_atom_site_fract_z
Er1 0.333 0.667 0.000
La1 0.500 0.500 0.500
Se1 0.076 0.410 0.228
Se2 0.741 0.741 0.227
La2 0.166 0.834 0.500
La3 0.834 0.166 0.500
Se3 0.410 0.076 0.228
Se4 0.924 0.590 0.772
Se5 0.590 0.924 0.772
Se6 0.259 0.259 0.773
Ho1 0.000 0.000 0.000
Er2 0.667 0.333 0.000
# **Calculated total energy**: -71.76 eV for the cell shown
# **Raw formation energy**: -1.86 eV per atom
# **Total moment**: 0.00 μB per formula unit

2.
# LaHo2ErSe6 | Alexandria via LeMat-Bulk | PBE | relaxed
data_LaHo2ErSe6
_space_group_name_H-M_alt 'P 1'
_space_group_IT_number 1
_space_group_name_Hall 'P 1'
_cell_length_a 7.288
_cell_length_b 7.288
_cell_length_c 7.723
_cell_angle_alpha 61.84
_cell_angle_beta 61.84
_cell_angle_gamma 59.99
loop_
_atom_site_label
_atom_site_fract_x
_atom_site_fract_y
_atom_site_fract_z
Er1 0.319 0.319 0.044
Ho1 0.011 0.011 0.966
Ho2 0.517 0.516 0.450
Se1 0.228 0.916 0.247
Se2 0.137 0.389 0.748
Se3 0.916 0.610 0.247
Se4 0.388 0.726 0.748
La1 0.810 0.810 0.571
Se5 0.610 0.228 0.247
Se6 0.726 0.137 0.748
# **Calculated total energy**: -58.31 eV for the cell shown
# **Raw formation energy**: -1.88 eV per atom
# **Total moment**: 0.00 μB per formula unit

3.
# LaHoEr2Se4 | Alexandria via LeMat-Bulk | PBE | relaxed
data_LaHoEr2Se4
_space_group_name_H-M_alt 'P 1'
_space_group_IT_number 1
_space_group_name_Hall 'P 1'
_cell_length_a 4.045
_cell_length_b 7.218
_cell_length_c 7.112
_cell_angle_alpha 71.38
_cell_angle_beta 90.00
_cell_angle_gamma 90.00
loop_
_atom_site_label
_atom_site_fract_x
_atom_site_fract_y
_atom_site_fract_z
Er1 0.000 0.000 0.000
Se1 0.000 0.234 0.264
Er2 0.500 0.000 0.500
Ho1 0.000 0.500 0.500
Se2 0.000 0.766 0.736
Se3 0.500 0.241 0.744
Se4 0.500 0.759 0.256
La1 0.500 0.500 0.000
# **Calculated total energy**: -46.72 eV for the cell shown
# **Raw formation energy**: -1.77 eV per atom
# **Total moment**: 0.00 μB per formula unit

4.
# La2SmHo4Er | Alexandria via LeMat-Bulk | PBE | relaxed
data_La2SmHo4Er
_space_group_name_H-M_alt 'P 1'
_space_group_IT_number 1
_space_group_name_Hall 'P 1'
_cell_length_a 12.402
_cell_length_b 7.182
_cell_length_c 12.398
_cell_angle_alpha 106.80
_cell_angle_beta 146.33
_cell_angle_gamma 90.01
loop_
_atom_site_label
_atom_site_fract_x
_atom_site_fract_y
_atom_site_fract_z
Ho1 0.248 0.750 0.001
La1 0.500 0.000 0.000
Ho2 0.249 0.251 0.003
Er1 0.500 0.500 0.500
Ho3 0.750 0.750 0.503
La2 0.500 0.500 0.000
Er2 0.000 0.000 0.000
Sm1 0.000 0.500 0.000
Sm2 0.000 0.500 0.500
La3 0.000 0.000 0.500
Ho4 0.752 0.250 0.999
Ho5 0.251 0.748 0.498
Ho6 0.751 0.749 0.997
Ho7 0.749 0.252 0.502
Ho8 0.250 0.250 0.497
La4 0.500 0.000 0.500
# **Calculated total energy**: -74.55 eV for the cell shown
# **Energy of formation from the pure elements**: 0.02 eV/atom
# **Total moment**: 0.00 μB per formula unit

5.
# La2SmHoEr | Alexandria via LeMat-Bulk | PBE | relaxed
data_La2SmHoEr
_space_group_name_H-M_alt 'P 1'
_space_group_IT_number 1
_space_group_name_Hall 'P 1'
_cell_length_a 6.524
_cell_length_b 6.524
_cell_length_c 8.895
_cell_angle_alpha 111.51
_cell_angle_beta 90.00
_cell_angle_gamma 90.00
loop_
_atom_site_label
_atom_site_fract_x
_atom_site_fract_y
_atom_site_fract_z
Ho1 0.250 0.249 0.498
La1 0.000 0.750 0.000
Er1 0.250 0.843 0.686
Sm1 0.250 0.659 0.318
La2 0.500 0.250 0.000
Sm2 0.750 0.341 0.682
Er2 0.750 0.157 0.314
Ho2 0.750 0.751 0.502
La3 0.000 0.250 0.000
La4 0.500 0.750 0.000
# **Calculated total energy**: -43.84 eV for the cell shown
# **Energy of formation from the pure elements**: 0.36 eV/atom
# **Total moment**: 0.00 μB per formula unit

6.
# La2SmHo6Er3 | Alexandria via LeMat-Bulk | PBE | relaxed
data_La2SmHo6Er3
_space_group_name_H-M_alt 'P 1'
_space_group_IT_number 1
_space_group_name_Hall 'P 1'
_cell_length_a 6.183
_cell_length_b 6.183
_cell_length_c 11.798
_cell_angle_alpha 95.01
_cell_angle_beta 95.01
_cell_angle_gamma 120.00
loop_
_atom_site_label
_atom_site_fract_x
_atom_site_fract_y
_atom_site_fract_z
La1 0.666 0.334 0.000
Ho1 0.581 0.914 0.744
La2 0.334 0.666 0.000
Er1 0.166 0.834 0.500
Ho2 0.914 0.581 0.744
Sm1 0.000 0.000 0.000
Ho3 0.086 0.419 0.256
Ho4 0.246 0.246 0.744
Er2 0.500 0.500 0.500
Ho5 0.419 0.086 0.256
Ho6 0.754 0.754 0.256
Er3 0.834 0.166 0.500
# **Calculated total energy**: -55.43 eV for the cell shown
# **Energy of formation from the pure elements**: 0.02 eV/atom
# **Total moment**: 0.00 μB per formula unit